# 1
{"formula": "LaFeCl3", "functional": "PBE-GGA", "state": "optimized geometry", "lattice_angstrom": [[5.631, 0.000, 0.000], [0.000, 5.631, 0.000], [0.000, 0.000, 5.631]], "species": ["Cl", "Cl", "Cl", "Fe", "La"], "fractional_positions": [[0.000, 0.500, 0.000], [0.000, 0.000, 0.500], [0.500, 0.000, 0.000], [0.500, 0.500, 0.500], [0.000, 0.000, 0.000]], "formation_energy_uncorrected_ev_per_fu": -4.3, "density_g_cm3": 2.80, "total_energy_ev_per_cell": -23.2, "sg": "Pm-3m, No. 221"}

# 2
{"formula": "Sr3LiPd", "functional": "PBE-GGA", "state": "optimized geometry", "lattice_angstrom": [[-7.439, 20.236, 19.242], [-6.069, -0.663, -1.649], [2.100, -9.842, -3.769]], "species": ["Sr", "Sr", "Sr", "Sr", "Sr", "Sr", "Sr", "Sr", "Sr", "Sr", "Sr", "Sr", "Pd", "Pd", "Pd", "Pd", "Li", "Li", "Li", "Li"], "fractional_positions": [[0.339, 0.914, 0.018], [0.661, 0.086, 0.982], [0.161, 0.414, 0.482], [0.839, 0.586, 0.518], [0.312, 0.247, 0.263], [0.688, 0.753, 0.737], [0.188, 0.747, 0.237], [0.812, 0.253, 0.763], [0.553, 0.764, 0.039], [0.447, 0.236, 0.961], [0.947, 0.264, 0.461], [0.053, 0.736, 0.539], [0.081, 0.198, 0.522], [0.919, 0.802, 0.478], [0.419, 0.698, 0.978], [0.581, 0.302, 0.022], [0.521, 0.571, 0.675], [0.479, 0.429, 0.325], [0.979, 0.071, 0.825], [0.021, 0.929, 0.175]], "relative_energy_mev_per_atom": 27, "density_g_cm3": 3.35, "total_energy_ev_per_cell": -53.6, "sg": "P2_1/c, No. 14", "formation_energy_ev_per_atom": -0.25}

# 3
{"formula": "SnIr3O", "functional": "PBE-GGA", "state": "optimized geometry", "lattice_angstrom": [[-0.211, -4.760, 1.278], [3.530, -1.039, -3.286], [3.439, 0.774, 3.450]], "species": ["Ir", "Ir", "Ir", "Sn", "O"], "fractional_positions": [[0.000, 0.500, 0.000], [0.000, 0.000, 0.500], [0.500, 0.000, 0.000], [0.000, 0.000, 0.000], [0.500, 0.500, 0.500]], "relative_energy_mev_per_atom": 1777, "formation_energy_uncorrected_ev_per_fu": 12.5, "density_g_cm3": 9.84, "total_energy_ev_per_cell": -23.1, "sg": "Pm-3m, No. 221"}

# 4
{"formula": "Ce4Si2Cl3", "functional": "PBE-GGA", "state": "optimized geometry", "lattice_angstrom": [[4.184, 0.000, 0.000], [-2.092, 3.618, 0.203], [0.000, -0.935, 16.467]], "species": ["Ce", "Ce", "Ce", "Ce", "Si", "Si", "Cl", "Cl", "Cl"], "fractional_positions": [[0.667, 0.333, 0.101], [0.000, 0.000, 0.699], [0.000, 0.000, 0.301], [0.333, 0.667, 0.899], [0.333, 0.667, 0.200], [0.667, 0.333, 0.800], [0.333, 0.666, 0.602], [0.000, 0.000, 0.000], [0.667, 0.334, 0.398]], "formation_energy_uncorrected_ev_per_fu": -11.7, "density_g_cm3": 4.80, "total_energy_ev_per_cell": -51.8, "sg": "P-3m1, No. 164"}

# 5
{"formula": "DyErZrSc", "functional": "PBE-GGA", "state": "optimized geometry", "lattice_angstrom": [[4.752, 0.000, 0.000], [0.000, 4.755, 0.000], [-2.376, -2.377, 4.749]], "species": ["Dy", "Er", "Zr", "Sc"], "fractional_positions": [[0.120, 0.120, 0.240], [0.370, 0.870, 0.739], [0.870, 0.370, 0.740], [0.620, 0.620, 0.239]], "relative_energy_mev_per_atom": 0, "density_g_cm3": 7.21, "total_energy_ev_per_cell": -23.7, "sg": "I-4m2, No. 119", "formation_energy_ev_per_atom": 0.07}

# 6
{"formula": "K2CeAlO4", "functional": "PBE-GGA", "state": "optimized geometry", "lattice_angstrom": [[6.008, -0.339, -0.519], [-2.866, 5.291, 0.519], [-2.866, -1.654, 5.052]], "species": ["K", "K", "Ce", "Al", "O", "O", "O", "O"], "fractional_positions": [[0.500, 0.750, 0.250], [0.000, 0.000, 0.000], [0.500, 0.250, 0.750], [0.000, 0.500, 0.500], [0.645, 0.398, 0.472], [0.074, 0.247, 0.602], [0.926, 0.528, 0.173], [0.355, 0.827, 0.753]], "formation_energy_uncorrected_ev_per_fu": -19.8, "density_g_cm3": 3.40, "total_energy_ev_per_cell": -51.5, "sg": "I-4, No. 82"}

# 7
{"formula": "SmDyGaRh", "functional": "PBE-GGA", "state": "optimized geometry", "lattice_angstrom": [[4.292, 0.000, 0.000], [0.000, 3.955, 0.000], [-2.146, 0.000, 5.484]], "species": ["Sm", "Dy", "Ga", "Rh"], "fractional_positions": [[0.152, 0.000, 0.303], [0.866, 0.500, 0.732], [0.568, 0.500, 0.136], [0.414, 0.000, 0.829]], "relative_energy_mev_per_atom": 0, "density_g_cm3": 8.66, "total_energy_ev_per_cell": -22.5, "sg": "Amm2, No. 38", "formation_energy_ev_per_atom": -0.71}

# 8
{"formula": "Li6HgAu12", "functional": "PBE-GGA", "state": "optimized geometry", "lattice_angstrom": [[-0.996, 0.983, 6.760], [6.383, -2.289, 1.295], [2.443, 6.433, -0.554]], "species": ["Li", "Li", "Li", "Li", "Li", "Li", "Hg", "Au", "Au", "Au", "Au", "Au", "Au", "Au", "Au", "Au", "Au", "Au", "Au"], "fractional_positions": [[0.276, 0.120, 0.716], [0.880, 0.284, 0.724], [0.284, 0.724, 0.880], [0.724, 0.880, 0.284], [0.120, 0.716, 0.276], [0.716, 0.276, 0.120], [0.000, 0.000, 0.000], [0.574, 0.193, 0.475], [0.193, 0.475, 0.574], [0.475, 0.574, 0.193], [0.426, 0.807, 0.525], [0.807, 0.525, 0.426], [0.525, 0.426, 0.807], [0.974, 0.840, 0.624], [0.376, 0.026, 0.160], [0.160, 0.376, 0.026], [0.026, 0.160, 0.376], [0.624, 0.974, 0.840], [0.840, 0.624, 0.974]], "relative_energy_mev_per_atom": 12, "density_g_cm3": 13.15, "total_energy_ev_per_cell": -57.0, "sg": "R-3, No. 148", "formation_energy_ev_per_atom": -0.31}

# 9
{"formula": "SrMn3Tc", "functional": "PBE-GGA", "state": "optimized geometry", "lattice_angstrom": [[4.380, 0.000, 0.000], [0.000, 4.380, 0.000], [0.000, 0.000, 4.380]], "species": ["Sr", "Mn", "Mn", "Mn", "Tc"], "fractional_positions": [[0.000, 0.000, 0.000], [0.000, 0.500, 0.000], [0.000, 0.000, 0.500], [0.500, 0.000, 0.000], [0.500, 0.500, 0.500]], "relative_energy_mev_per_atom": 2222, "density_g_cm3": 6.93, "total_energy_ev_per_cell": -24.7, "sg": "Pm-3m, No. 221", "formation_energy_ev_per_atom": 2.97}

# 10
{"formula": "Tb8HgPd2", "functional": "PBE-GGA", "state": "optimized geometry", "lattice_angstrom": [[-2.694, -0.769, 4.310], [4.451, -4.915, 1.905], [4.409, 8.210, 1.156]], "species": ["Tb", "Tb", "Tb", "Tb", "Tb", "Tb", "Tb", "Tb", "Hg", "Pd", "Pd"], "fractional_positions": [[0.406, 0.527, 0.812], [0.675, 0.990, 0.350], [0.799, 0.664, 0.599], [0.968, 0.226, 0.936], [0.201, 0.336, 0.401], [0.325, 0.010, 0.650], [0.594, 0.473, 0.188], [0.032, 0.774, 0.064], [0.500, 0.000, 0.000], [0.821, 0.273, 0.643], [0.179, 0.727, 0.357]], "relative_energy_mev_per_atom": 0, "density_g_cm3": 9.15, "total_energy_ev_per_cell": -52.1, "sg": "C2/m, No. 12", "formation_energy_ev_per_atom": -0.39}

# 11
{"formula": "Eu2MgIrO6", "functional": "PBE-GGA", "state": "optimized geometry", "lattice_angstrom": [[-1.994, -3.490, -3.767], [5.124, -2.425, -0.466], [-1.882, -5.071, 5.693]], "species": ["Eu", "Eu", "Eu", "Eu", "Mg", "Mg", "Ir", "Ir", "O", "O", "O", "O", "O", "O", "O", "O", "O", "O", "O", "O"], "fractional_positions": [[0.012, 0.555, 0.249], [0.512, 0.945, 0.749], [0.988, 0.445, 0.751], [0.488, 0.055, 0.251], [0.500, 0.500, 0.500], [0.000, 0.000, 0.000], [0.000, 0.000, 0.500], [0.500, 0.500, 0.000], [0.293, 0.802, 0.455], [0.793, 0.698, 0.955], [0.707, 0.198, 0.545], [0.207, 0.302, 0.045], [0.911, 0.974, 0.254], [0.411, 0.526, 0.754], [0.089, 0.026, 0.746], [0.589, 0.474, 0.246], [0.195, 0.290, 0.452], [0.695, 0.210, 0.952], [0.805, 0.710, 0.548], [0.305, 0.790, 0.048]], "formation_energy_uncorrected_ev_per_fu": -22.1, "density_g_cm3": 8.32, "total_energy_ev_per_cell": -165.7, "sg": "P2_1/c, No. 14"}

# 12
{"formula": "Pm3Pr5Y2", "functional": "PBE-GGA", "state": "optimized geometry", "lattice_angstrom": [[-5.339, -2.407, 2.973], [-5.886, -5.519, -7.783], [3.278, -8.958, 5.889]], "species": ["Pm", "Pm", "Pm", "Pm", "Pm", "Pm", "Pr", "Pr", "Pr", "Pr", "Pr", "Pr", "Pr", "Pr", "Pr", "Pr", "Y", "Y", "Y", "Y"], "fractional_positions": [[0.397, 0.445, 0.761], [0.897, 0.761, 0.445], [0.603, 0.555, 0.239], [0.103, 0.239, 0.555], [0.250, 0.000, 0.000], [0.750, 0.000, 0.000], [0.400, 0.259, 0.942], [0.900, 0.942, 0.259], [0.600, 0.741, 0.058], [0.100, 0.058, 0.741], [0.499, 0.751, 0.751], [0.501, 0.249, 0.249], [0.750, 0.500, 0.500], [0.250, 0.500, 0.500], [0.001, 0.249, 0.249], [0.999, 0.751, 0.751], [0.157, 0.588, 0.098], [0.657, 0.098, 0.588], [0.843, 0.412, 0.902], [0.343, 0.902, 0.412]], "relative_energy_mev_per_atom": 165, "density_g_cm3": 5.96, "total_energy_ev_per_cell": -95.6, "sg": "Ibam, No. 72", "formation_energy_ev_per_atom": 0.33}

Copy entry 8 word for word.
{"formula": "Li6HgAu12", "functional": "PBE-GGA", "state": "optimized geometry", "lattice_angstrom": [[-0.996, 0.983, 6.760], [6.383, -2.289, 1.295], [2.443, 6.433, -0.554]], "species": ["Li", "Li", "Li", "Li", "Li", "Li", "Hg", "Au", "Au", "Au", "Au", "Au", "Au", "Au", "Au", "Au", "Au", "Au", "Au"], "fractional_positions": [[0.276, 0.120, 0.716], [0.880, 0.284, 0.724], [0.284, 0.724, 0.880], [0.724, 0.880, 0.284], [0.120, 0.716, 0.276], [0.716, 0.276, 0.120], [0.000, 0.000, 0.000], [0.574, 0.193, 0.475], [0.193, 0.475, 0.574], [0.475, 0.574, 0.193], [0.426, 0.807, 0.525], [0.807, 0.525, 0.426], [0.525, 0.426, 0.807], [0.974, 0.840, 0.624], [0.376, 0.026, 0.160], [0.160, 0.376, 0.026], [0.026, 0.160, 0.376], [0.624, 0.974, 0.840], [0.840, 0.624, 0.974]], "relative_energy_mev_per_atom": 12, "density_g_cm3": 13.15, "total_energy_ev_per_cell": -57.0, "sg": "R-3, No. 148", "formation_energy_ev_per_atom": -0.31}